{
  "formula": "Mg5Cd2PdAu2",
  "functional": "PBE",
  "state": "optimized geometry",
  "e_tot_ev_per_fu": -25.6,
  "n_ef_per_ev_atom": 0.2285,
  "lattice_angstrom": [[3.249, 0.000, 0.000], [0.000, 11.216, 0.000], [0.000, 0.000, 11.216]],
  "species": ["Mg", "Mg", "Mg", "Mg", "Mg", "Mg", "Mg", "Mg", "Mg", "Mg", "Cd", "Cd", "Cd", "Cd", "Pd", "Pd", "Au", "Au", "Au", "Au"],
  "frac_coords": [[0.500, 0.191, 0.044], [0.500, 0.809, 0.956], [0.500, 0.044, 0.809], [0.500, 0.691, 0.456], [0.500, 0.956, 0.191], [0.500, 0.309, 0.544], [0.500, 0.544, 0.691], [0.500, 0.456, 0.309], [0.500, 0.500, 0.000], [0.500, 0.000, 0.500], [0.000, 0.676, 0.176], [0.000, 0.324, 0.824], [0.000, 0.176, 0.324], [0.000, 0.824, 0.676], [0.000, 0.000, 0.000], [0.000, 0.500, 0.500], [0.000, 0.138, 0.638], [0.000, 0.862, 0.362], [0.000, 0.638, 0.862], [0.000, 0.362, 0.138]]
}